# 1
Below is crystalline GeAuS2N at its relaxed geometry, with properties calculated at the GGA-PBE level.

Values from the calculation:
Final energy (eV/cell): -19.12
Excess energy over the best structure of this formula in the dataset (meV/atom): 130.2
N(E_F) (states/eV/cell): 3.23

abc: 5.0654 5.0654 3.7811
angles: 90.00 90.00 90.00
Space group P4/mmm (No. 123)
Symmetry-distinct sites (fractional):
Ge: 0.0000 0.0000 0.0000 (multiplicity 1)
Au: 0.5000 0.5000 0.5000 (multiplicity 1)
S: 0.0000 0.5000 0.5000 (multiplicity 2)
N: 0.5000 0.5000 0.0000 (multiplicity 1)


# 2
Below is crystalline GaSiNi2B at its relaxed geometry, with properties calculated at the GGA-PBE level.

Values from the calculation:
Final energy (eV/cell): -21.44
N(E_F) (states/eV/cell): 1.71

abc: 4.4395 4.4395 3.7537
angles: 90.00 90.00 90.00
Space group P4/mmm (No. 123)
Symmetry-distinct sites (fractional):
Ga: 0.0000 0.0000 0.0000 (multiplicity 1)
Si: 0.5000 0.5000 0.5000 (multiplicity 1)
Ni: 0.0000 0.5000 0.0000 (multiplicity 2)
B: 0.0000 0.0000 0.5000 (multiplicity 1)